Material: TaRhPb3
Method: DFT, PBE
State: relaxed

Results
The value obtained for the density of states at the Fermi level is 6.5 states/eV/cell. Its total DFT energy (no corrections) is -24.6 eV/f.u. The calculation puts the polymorph energy (0 for the lowest one) at 66 meV per atom. The energy of formation from the pure elements comes out at 5.7 eV/f.u.

a b c (Å): 5.442 5.442 5.442
angles (deg): 90.00 90.00 90.00
Space group Pm-3m (No. 221)
Unique sites:
Ta (0.000, 0.000, 0.000) [1 per cell]
Rh (0.500, 0.500, 0.500) [1 per cell]
Pb (0.000, 0.000, 0.500) [3 per cell]

=====

Material: SrSnPd2
Method: DFT, PBE
State: relaxed

Results
The value obtained for the density of states at the Fermi level is 4.2 states/eV/cell. Its total DFT energy (no corrections) is -17.0 eV/f.u. The energy of formation from the pure elements comes out at -1.0 eV/f.u.

a b c (Å): 6.360 7.604 4.298
angles (deg): 90.00 90.00 90.00
Space group Cmmm (No. 65)
Unique sites:
Sr (0.000, 0.000, 0.000) [2 per cell]
Sn (0.000, 0.500, 0.000) [2 per cell]
Pd (0.000, 0.303, 0.500) [4 per cell]

=====

Material: SbIr2Br
Method: DFT, PBE
State: relaxed

Results
The value obtained for the density of states at the Fermi level is 31.2 states/eV/cell. Its total DFT energy (no corrections) is -20.4 eV/f.u. The calculation puts the polymorph energy (0 for the lowest one) at 421 meV per atom. Its formation energy without anion corrections is 296 kJ/mol of formula units.

a b c (Å): 6.592 6.592 6.592
angles (deg): 90.00 90.00 90.00
Space group Fm-3m (No. 225)
Unique sites:
Sb (0.000, 0.000, 0.000) [4 per cell]
Ir (0.250, 0.250, 0.250) [8 per cell]
Br (0.000, 0.000, 0.500) [4 per cell]

=====

Material: NaFe3Pt
Method: DFT, PBE
State: relaxed

Results
The value obtained for the density of states at the Fermi level is 5.0 states/eV/cell. Its total DFT energy (no corrections) is -28.3 eV/f.u. The calculation puts the polymorph energy (0 for the lowest one) at 0 meV per atom. The energy of formation from the pure elements comes out at 4.4 eV/f.u.

a b c (Å): 4.786 4.786 4.786
angles (deg): 90.00 90.00 90.00
Space group Pm-3m (No. 221)
Unique sites:
Na (0.000, 0.000, 0.000) [1 per cell]
Fe (0.000, 0.500, 0.500) [3 per cell]
Pt (0.500, 0.500, 0.500) [1 per cell]

=====

Material: PaMnOsRh
Method: DFT, PBE
State: relaxed

Results
The value obtained for the density of states at the Fermi level is 12.1 states/eV/cell. Its total DFT energy (no corrections) is -38.0 eV/f.u. The energy of formation from the pure elements comes out at -0.8 eV/f.u.

a b c (Å): 6.565 6.565 6.565
angles (deg): 90.00 90.00 90.00
Space group F-43m (No. 216)
Unique sites:
Pa (0.000, 0.000, 0.000) [4 per cell]
Mn (0.000, 0.000, 0.500) [4 per cell]
Os (0.250, 0.250, 0.750) [4 per cell]
Rh (0.250, 0.250, 0.250) [4 per cell]

=====

Material: Ac2TlI
Method: DFT, PBE
State: relaxed

Results
The value obtained for the density of states at the Fermi level is 11.5 states/eV/cell. Its total DFT energy (no corrections) is -14.5 eV/f.u. The calculation puts the polymorph energy (0 for the lowest one) at 54 meV per atom. Its formation energy without anion corrections is -229 kJ/mol of formula units.

a b c (Å): 4.8437 4.8437 24.8042
angles (deg): 90.00 90.00 120.00
Space group R3m (No. 160, hexagonal axes)
Unique sites:
Ac (0.0000, 0.0000, 0.0000) [3 per cell]
Ac (0.0000, 0.0000, 0.1934) [3 per cell]
Tl (0.0000, 0.0000, 0.5975) [3 per cell]
I (0.0000, 0.0000, 0.4262) [3 per cell]

=====

Material: TbSnHgPt
Method: DFT, PBE
State: relaxed

Results
The value obtained for the density of states at the Fermi level is 8.3 states/eV/cell. Its total DFT energy (no corrections) is -17.4 eV/f.u. The energy of formation from the pure elements comes out at -2.5 eV/f.u.

a b c (Å): 7.065 7.065 7.065
angles (deg): 90.00 90.00 90.00
Space group F-43m (No. 216)
Unique sites:
Tb (0.000, 0.000, 0.000) [4 per cell]
Sn (0.000, 0.000, 0.500) [4 per cell]
Hg (0.250, 0.250, 0.250) [4 per cell]
Pt (0.250, 0.250, 0.750) [4 per cell]

=====

Material: ThTc3B
Method: DFT, PBE
State: relaxed

Results
The value obtained for the density of states at the Fermi level is 9.5 states/eV/cell. Its total DFT energy (no corrections) is -45.6 eV/f.u. The calculation puts the polymorph energy (0 for the lowest one) at 0 meV per atom. The energy of formation from the pure elements comes out at -0.4 eV/f.u.

a b c (Å): 4.317 4.317 4.317
angles (deg): 90.00 90.00 90.00
Space group Pm-3m (No. 221)
Unique sites:
Th (0.000, 0.000, 0.000) [1 per cell]
Tc (0.000, 0.500, 0.500) [3 per cell]
B (0.500, 0.500, 0.500) [1 per cell]

=====

The highest total DFT energy (no corrections) belongs to which entry? Ac2TlI

=====

Copy entry 1 word for word.
Material: TaRhPb3
Method: DFT, PBE
State: relaxed

Results
The value obtained for the density of states at the Fermi level is 6.5 states/eV/cell. Its total DFT energy (no corrections) is -24.6 eV/f.u. The calculation puts the polymorph energy (0 for the lowest one) at 66 meV per atom. The energy of formation from the pure elements comes out at 5.7 eV/f.u.

a b c (Å): 5.442 5.442 5.442
angles (deg): 90.00 90.00 90.00
Space group Pm-3m (No. 221)
Unique sites:
Ta (0.000, 0.000, 0.000) [1 per cell]
Rh (0.500, 0.500, 0.500) [1 per cell]
Pb (0.000, 0.000, 0.500) [3 per cell]